No. 1
## DyGaFeCo3 (GGA-PBEsol)

Data for DyGaFeCo3 after structural relaxation.

Summary:
VASP energy, eV per atom: -7.01
Symmetry: P2/m

a = 4.798 Å, b = 3.939 Å, c = 4.930 Å
α = 90.00°, β = 118.47°, γ = 90.00°
Element x y z (fractional)
Dy (0.000, 0.000, 0.000)
Ga (0.500, 0.500, 0.000)
Fe (0.000, 0.500, 0.500)
Co (0.319, 0.000, 0.637)
Co (0.500, 0.500, 0.500)
Co (0.681, 0.000, 0.363)



No. 2
## SbTeIr (GGA-PBEsol)

Data for SbTeIr after structural relaxation.

Summary:
ΔE_f (raw), meV per atom: 834
Symmetry: F-43m

a = 4.646 Å, b = 4.646 Å, c = 4.646 Å
α = 60.00°, β = 60.00°, γ = 60.00°
Element x y z (fractional)
Sb (0.000, 0.000, 0.000)
Te (0.250, 0.250, 0.250)
Ir (0.500, 0.500, 0.500)



No. 3
## Li2Ni (GGA-PBEsol)

Data for Li2Ni after structural relaxation.

Summary:
VASP energy, eV per atom: -3.26
Symmetry: Fd-3m

a = 7.835 Å, b = 7.835 Å, c = 7.835 Å
α = 60.00°, β = 60.00°, γ = 60.00°
Element x y z (fractional)
Li (0.000, 0.000, 0.000)
Li (0.000, 0.000, 0.500)
Li (0.000, 0.500, 0.000)
Li (0.174, 0.174, 0.576)
Li (0.174, 0.576, 0.174)
Li (0.174, 0.576, 0.576)
Li (0.424, 0.424, 0.826)
Li (0.424, 0.826, 0.424)
Li (0.424, 0.826, 0.826)
Li (0.500, 0.000, 0.000)
Li (0.576, 0.174, 0.174)
Li (0.576, 0.174, 0.576)
Li (0.576, 0.576, 0.174)
Li (0.826, 0.424, 0.424)
Li (0.826, 0.424, 0.826)
Li (0.826, 0.826, 0.424)
Ni (0.103, 0.799, 0.799)
Ni (0.201, 0.201, 0.201)
Ni (0.201, 0.201, 0.897)
Ni (0.201, 0.897, 0.201)
Ni (0.799, 0.103, 0.799)
Ni (0.799, 0.799, 0.103)
Ni (0.799, 0.799, 0.799)
Ni (0.897, 0.201, 0.201)



No. 4
## TiGa2Br (GGA-PBEsol)

Data for TiGa2Br after structural relaxation.

Summary:
ΔE_f (raw), meV per atom: 423
Symmetry: Fm-3m

a = 4.817 Å, b = 4.817 Å, c = 4.817 Å
α = 60.00°, β = 60.00°, γ = 60.00°
Element x y z (fractional)
Ti (0.000, 0.000, 0.000)
Ga (0.250, 0.250, 0.250)
Ga (0.750, 0.750, 0.750)
Br (0.500, 0.500, 0.500)



No. 5
## ScIrN3 (GGA-PBEsol)

Data for ScIrN3 after structural relaxation.

Summary:
ΔE_f (raw), meV per atom: 336
Symmetry: Pm-3m

a = 3.833 Å, b = 3.833 Å, c = 3.833 Å
α = 90.00°, β = 90.00°, γ = 90.00°
Element x y z (fractional)
Sc (0.000, 0.000, 0.000)
Ir (0.500, 0.500, 0.500)
N (0.000, 0.500, 0.500)
N (0.500, 0.000, 0.500)
N (0.500, 0.500, 0.000)



No. 6
## LiCuP2 (GGA-PBEsol)

Data for LiCuP2 after structural relaxation.

Summary:
Symmetry: F-43m
Offset from the most stable computed form, meV per atom: 212.9

a = 4.210 Å, b = 4.210 Å, c = 4.210 Å
α = 60.00°, β = 60.00°, γ = 60.00°
Element x y z (fractional)
Li (0.000, 0.000, 0.000)
Cu (0.750, 0.750, 0.750)
P (0.250, 0.250, 0.250)
P (0.500, 0.500, 0.500)



No. 7
## CsMg2Pb2 (GGA-PBEsol)

Data for CsMg2Pb2 after structural relaxation.

Summary:
Symmetry: P4/mbm
Offset from the most stable computed form, meV per atom: 35.2

a = 9.438 Å, b = 9.438 Å, c = 3.333 Å
α = 90.00°, β = 90.00°, γ = 90.00°
Element x y z (fractional)
Cs (0.000, 0.000, 0.000)
Cs (0.500, 0.500, 0.000)
Mg (0.128, 0.372, 0.000)
Mg (0.372, 0.872, 0.000)
Mg (0.628, 0.128, 0.000)
Mg (0.872, 0.628, 0.000)
Pb (0.156, 0.656, 0.500)
Pb (0.344, 0.156, 0.500)
Pb (0.656, 0.844, 0.500)
Pb (0.844, 0.344, 0.500)



No. 8
## YZn2Hg (GGA-PBEsol)

Data for YZn2Hg after structural relaxation.

Summary:
VASP energy, eV per atom: -2.97
Symmetry: F-43m

a = 4.764 Å, b = 4.764 Å, c = 4.764 Å
α = 60.00°, β = 60.00°, γ = 60.00°
Element x y z (fractional)
Y (0.000, 0.000, 0.000)
Zn (0.250, 0.250, 0.250)
Zn (0.500, 0.500, 0.500)
Hg (0.750, 0.750, 0.750)



No. 9
## AlCdAs3 (GGA-PBEsol)

Data for AlCdAs3 after structural relaxation.

Summary:
VASP energy, eV per atom: -3.05
Symmetry: Pm-3m

a = 5.069 Å, b = 5.069 Å, c = 5.069 Å
α = 90.00°, β = 90.00°, γ = 90.00°
Element x y z (fractional)
Al (0.000, 0.000, 0.000)
Cd (0.500, 0.500, 0.500)
As (0.000, 0.500, 0.500)
As (0.500, 0.000, 0.500)
As (0.500, 0.500, 0.000)



No. 10
## TaCoSi2 (GGA-PBEsol)

Data for TaCoSi2 after structural relaxation.

Summary:
ΔE_f (raw), meV per atom: -249
Symmetry: P4/mmm

a = 4.205 Å, b = 4.205 Å, c = 2.966 Å
α = 90.00°, β = 90.00°, γ = 90.00°
Element x y z (fractional)
Ta (0.000, 0.000, 0.000)
Co (0.500, 0.500, 0.000)
Si (0.000, 0.500, 0.500)
Si (0.500, 0.000, 0.500)



No. 11
## Ca2BeSi (GGA-PBEsol)

Data for Ca2BeSi after structural relaxation.

Summary:
ΔE_f (raw), meV per atom: -112
Symmetry: Imm2
Offset from the most stable computed form, meV per atom: 0.0

a = 5.564 Å, b = 5.564 Å, c = 5.564 Å
α = 140.01°, β = 129.17°, γ = 66.56°
Element x y z (fractional)
Ca (0.000, 0.000, 0.000)
Ca (0.701, 0.201, 0.500)
Be (0.403, 0.403, 0.000)
Si (0.284, 0.784, 0.500)



No. 12
## Li2FeO2F (GGA-PBEsol)

Data for Li2FeO2F after structural relaxation.

Summary:
ΔE_f (raw), meV per atom: -1914
Symmetry: C2/c
Offset from the most stable computed form, meV per atom: 139.4

a = 5.083 Å, b = 5.083 Å, c = 9.665 Å
α = 94.70°, β = 94.70°, γ = 119.62°
Element x y z (fractional)
Li (0.000, 0.500, 0.500)
Li (0.091, 0.909, 0.750)
Li (0.269, 0.731, 0.250)
Li (0.406, 0.594, 0.750)
Li (0.500, 0.000, 0.000)
Li (0.594, 0.406, 0.250)
Li (0.731, 0.269, 0.750)
Li (0.909, 0.091, 0.250)
Fe (0.190, 0.379, 0.999)
Fe (0.379, 0.190, 0.499)
Fe (0.621, 0.810, 0.501)
Fe (0.810, 0.621, 0.001)
O (0.107, 0.624, 0.881)
O (0.302, 0.447, 0.382)
O (0.376, 0.893, 0.619)
O (0.447, 0.302, 0.882)
O (0.553, 0.698, 0.118)
O (0.624, 0.107, 0.381)
O (0.698, 0.553, 0.618)
O (0.893, 0.376, 0.119)
F (0.038, 0.205, 0.625)
F (0.205, 0.038, 0.125)
F (0.795, 0.962, 0.875)
F (0.962, 0.795, 0.375)



No. 13
## CrIrBr2 (GGA-PBEsol)

Data for CrIrBr2 after structural relaxation.

Summary:
ΔE_f (raw), meV per atom: 752
Symmetry: R-3m
Offset from the most stable computed form, meV per atom: 156.1

a = 8.291 Å, b = 8.291 Å, c = 8.291 Å
α = 21.37°, β = 21.37°, γ = 21.37°
Element x y z (fractional)
Cr (0.000, 0.000, 0.000)
Ir (0.500, 0.500, 0.500)
Br (0.262, 0.262, 0.262)
Br (0.738, 0.738, 0.738)



No. 14
## ZnSbTe2Ir (GGA-PBEsol)

Data for ZnSbTe2Ir after structural relaxation.

Summary:
ΔE_f (raw), meV per atom: 620
Symmetry: P4/mmm

a = 5.369 Å, b = 5.369 Å, c = 4.900 Å
α = 90.00°, β = 90.00°, γ = 90.00°
Element x y z (fractional)
Zn (0.000, 0.000, 0.000)
Sb (0.500, 0.500, 0.000)
Te (0.000, 0.500, 0.500)
Te (0.500, 0.000, 0.500)
Ir (0.500, 0.500, 0.500)



No. 15
## LiSbTe2 (GGA-PBEsol)

Data for LiSbTe2 after structural relaxation.

Summary:
ΔE_f (raw), meV per atom: -416
Symmetry: P4mm

a = 4.245 Å, b = 4.245 Å, c = 6.214 Å
α = 90.00°, β = 90.00°, γ = 90.00°
Element x y z (fractional)
Li (0.000, 0.000, 0.000)
Sb (0.500, 0.500, 0.442)
Te (0.000, 0.000, 0.526)
Te (0.500, 0.500, 0.000)



No. 16
## Tl2OsCl (GGA-PBEsol)

Data for Tl2OsCl after structural relaxation.

Summary:
ΔE_f (raw), meV per atom: 476
Symmetry: Pmm2
Offset from the most stable computed form, meV per atom: 22.3

a = 4.903 Å, b = 5.627 Å, c = 3.008 Å
α = 90.00°, β = 90.00°, γ = 90.00°
Element x y z (fractional)
Tl (0.000, 0.000, 0.000)
Tl (0.500, 0.500, 0.415)
Os (0.000, 0.500, 0.927)
Cl (0.500, 0.000, 0.498)



No. 17
## CrHgSN2 (GGA-PBEsol)

Data for CrHgSN2 after structural relaxation.

Summary:
ΔE_f (raw), meV per atom: 376
Symmetry: P4/mmm

a = 3.651 Å, b = 3.651 Å, c = 5.056 Å
α = 90.00°, β = 90.00°, γ = 90.00°
Element x y z (fractional)
Cr (0.000, 0.000, 0.000)
Hg (0.500, 0.500, 0.500)
S (0.000, 0.000, 0.500)
N (0.000, 0.500, 0.000)
N (0.500, 0.000, 0.000)



No. 18
## In2SiAs (GGA-PBEsol)

Data for In2SiAs after structural relaxation.

Summary:
ΔE_f (raw), meV per atom: 297
Symmetry: P4/mmm
Offset from the most stable computed form, meV per atom: 132.3

a = 3.321 Å, b = 3.321 Å, c = 7.550 Å
α = 90.00°, β = 90.00°, γ = 90.00°
Element x y z (fractional)
In (0.000, 0.000, 0.245)
In (0.000, 0.000, 0.755)
Si (0.500, 0.500, 0.000)
As (0.500, 0.500, 0.500)



No. 19
## K2BaIr (GGA-PBEsol)

Data for K2BaIr after structural relaxation.

Summary:
Symmetry: Imm2
Offset from the most stable computed form, meV per atom: 0.0

a = 8.649 Å, b = 8.649 Å, c = 8.649 Å
α = 153.80°, β = 141.58°, γ = 47.10°
Element x y z (fractional)
K (0.000, 0.000, 0.000)
K (0.642, 0.142, 0.500)
Ba (0.350, 0.850, 0.500)
Ir (0.476, 0.476, 0.000)



No. 20
## CsBa2HfC (GGA-PBEsol)

Data for CsBa2HfC after structural relaxation.

Summary:
VASP energy, eV per atom: -3.68
Symmetry: P4/mmm

a = 5.697 Å, b = 5.697 Å, c = 5.696 Å
α = 90.00°, β = 90.00°, γ = 90.00°
Element x y z (fractional)
Cs (0.000, 0.000, 0.000)
Ba (0.000, 0.500, 0.500)
Ba (0.500, 0.000, 0.500)
Hf (0.500, 0.500, 0.000)
C (0.000, 0.000, 0.500)



No. 21
## In3RuCl (GGA-PBEsol)

Data for In3RuCl after structural relaxation.

Summary:
ΔE_f (raw), meV per atom: 1099
Symmetry: Pm-3m
Offset from the most stable computed form, meV per atom: 1229.9

a = 5.159 Å, b = 5.159 Å, c = 5.159 Å
α = 90.00°, β = 90.00°, γ = 90.00°
Element x y z (fractional)
In (0.000, 0.000, 0.500)
In (0.000, 0.500, 0.000)
In (0.500, 0.000, 0.000)
Ru (0.500, 0.500, 0.500)
Cl (0.000, 0.000, 0.000)



No. 22
## LiMnPt2 (GGA-PBEsol)

Data for LiMnPt2 after structural relaxation.

Summary:
Symmetry: Fm-3m
Offset from the most stable computed form, meV per atom: 3.1

a = 4.231 Å, b = 4.231 Å, c = 4.231 Å
α = 60.00°, β = 60.00°, γ = 60.00°
Element x y z (fractional)
Li (0.000, 0.000, 0.000)
Mn (0.500, 0.500, 0.500)
Pt (0.250, 0.250, 0.250)
Pt (0.750, 0.750, 0.750)



No. 23
## Zr (GGA-PBEsol)

Data for Zr after structural relaxation.

Summary:
Symmetry: I4_1/amd
Offset from the most stable computed form, meV per atom: 482.4

a = 4.138 Å, b = 4.138 Å, c = 4.138 Å
α = 97.67°, β = 97.67°, γ = 137.15°
Element x y z (fractional)
Zr (0.375, 0.625, 0.750)
Zr (0.625, 0.375, 0.250)



No. 24
## Ba2NaPb2 (GGA-PBEsol)

Data for Ba2NaPb2 after structural relaxation.

Summary:
VASP energy, eV per atom: -3.17
Symmetry: P4/mbm

a = 8.869 Å, b = 8.869 Å, c = 4.990 Å
α = 90.00°, β = 90.00°, γ = 90.00°
Element x y z (fractional)
Ba (0.169, 0.331, 0.000)
Ba (0.331, 0.831, 0.000)
Ba (0.669, 0.169, 0.000)
Ba (0.831, 0.669, 0.000)
Na (0.000, 0.000, 0.500)
Na (0.500, 0.500, 0.500)
Pb (0.125, 0.625, 0.500)
Pb (0.375, 0.125, 0.500)
Pb (0.625, 0.875, 0.500)
Pb (0.875, 0.375, 0.500)



No. 25
## Cs2BaSiW (GGA-PBEsol)

Data for Cs2BaSiW after structural relaxation.

Summary:
ΔE_f (raw), meV per atom: 2053
Symmetry: P4/mmm

a = 6.793 Å, b = 6.793 Å, c = 5.262 Å
α = 90.00°, β = 90.00°, γ = 90.00°
Element x y z (fractional)
Cs (0.000, 0.500, 0.000)
Cs (0.500, 0.000, 0.000)
Ba (0.000, 0.000, 0.000)
Si (0.500, 0.500, 0.500)
W (0.000, 0.000, 0.500)



No. 26
## KTa2Ir (GGA-PBEsol)

Data for KTa2Ir after structural relaxation.

Summary:
Symmetry: P4/mmm
Offset from the most stable computed form, meV per atom: 0.0

a = 2.836 Å, b = 2.836 Å, c = 10.368 Å
α = 90.00°, β = 90.00°, γ = 90.00°
Element x y z (fractional)
K (0.000, 0.000, 0.000)
Ta (0.500, 0.500, 0.318)
Ta (0.500, 0.500, 0.682)
Ir (0.000, 0.000, 0.500)



No. 27
## InSbRu2 (GGA-PBEsol)

Data for InSbRu2 after structural relaxation.

Summary:
ΔE_f (raw), meV per atom: 189
Symmetry: P4mm

a = 2.975 Å, b = 2.975 Å, c = 8.100 Å
α = 90.00°, β = 90.00°, γ = 90.00°
Element x y z (fractional)
In (0.000, 0.000, 0.000)
Sb (0.500, 0.500, 0.654)
Ru (0.000, 0.000, 0.427)
Ru (0.500, 0.500, 0.232)